No. 1
# KS2N

A relaxed structure of KS2N (PBE, Alexandria via LeMat-Bulk).

```
KS2N
1.0
-2.495 3.195 5.042
2.587 -4.346 4.034
3.450 1.685 4.790
K S N
2 4 2
Cartesian
0.000 0.000 0.000 K
0.501 2.153 7.185 K
0.072 1.305 3.954 S
1.723 -1.325 5.249 S
3.084 0.057 7.716 S
2.207 1.032 10.814 S
0.046 -0.575 4.538 N
3.042 -1.618 6.681 N
```

Summary:
As for the symmetry: I-42d, No. 122. The volume comes out at 171 Å³ per cell. The value obtained for the energy relative to the elements, uncorrected is 0.3624 eV/atom.

No. 2
# Pa2AsP

A relaxed structure of Pa2AsP (PBE, Alexandria via LeMat-Bulk).

```
Pa2AsP
1.0
-1.589 2.947 0.847
-1.116 -1.444 2.931
5.731 2.157 3.246
P As Pa
1 1 2
Cartesian
1.513 1.830 3.512 P
-1.353 0.751 1.889 As
4.255 1.602 2.410 Pa
1.476 0.556 0.836 Pa
```

Summary:
As for the symmetry: P4/mmm, No. 123. The volume comes out at 83 Å³ per cell. The formation energy from the elements comes out at -895 meV/atom. The calculation puts the energy relative to the lowest polymorph listed for this composition at 303 meV/atom.

No. 3
# Li2Ca3BiO6

A relaxed structure of Li2Ca3BiO6 (PBE, Alexandria via LeMat-Bulk).

```
Li2Ca3BiO6
1.0
5.819 -0.008 0.012
-2.915 5.036 0.012
-0.958 -1.658 5.383
Li Ca Bi O
2 3 1 6
Cartesian
0.007 3.349 0.012 Li
2.897 1.679 0.012 Li
-1.884 3.335 2.703 Ca
3.830 0.035 2.703 Ca
0.973 1.685 2.703 Ca
0.000 0.000 0.000 Bi
2.881 1.727 4.075 O
1.970 3.410 1.359 O
-0.935 1.643 1.331 O
0.056 3.358 4.075 O
-0.023 -0.041 4.047 O
1.890 0.012 1.331 O
```

Summary:
As for the symmetry: C2/m, No. 12. The volume comes out at 158 Å³ per cell. The value obtained for the energy relative to the elements, uncorrected is -2.1832 eV/atom.

No. 4
# LiAgSe2O6

A relaxed structure of LiAgSe2O6 (PBE, Alexandria via LeMat-Bulk).

```
LiAgSe2O6
1.0
-2.943 1.932 -3.969
0.238 -2.229 -4.808
-5.041 -3.544 -1.533
Li Ag Se O
1 1 2 6
Cartesian
-3.873 -1.921 -5.155 Li
0.000 0.000 0.000 Ag
-5.358 -2.506 -7.884 Se
-2.388 -1.336 -2.426 Se
-3.830 -3.540 -3.537 O
-5.947 -1.338 -4.380 O
-2.832 -0.400 -3.796 O
-3.916 -0.301 -6.772 O
-1.799 -2.504 -5.929 O
-4.914 -3.441 -6.514 O
```

Summary:
As for the symmetry: R-3, No. 148. The volume comes out at 136 Å³ per cell. The value obtained for the energy relative to the elements, uncorrected is -0.7230 eV/atom.

No. 5
# BaCdGaSn2

A relaxed structure of BaCdGaSn2 (PBE, Alexandria via LeMat-Bulk).

```
BaCdGaSn2
1.0
5.114 0.000 0.000
0.000 5.114 0.000
-2.557 -2.557 5.680
Ba Cd Ga Sn
1 1 1 2
Cartesian
0.000 0.000 0.000 Ba
0.000 2.557 2.840 Cd
2.557 0.000 2.840 Ga
2.557 2.557 1.451 Sn
0.000 0.000 4.229 Sn
```

Summary:
As for the symmetry: I-4m2, No. 119. The volume comes out at 149 Å³ per cell. The formation energy from the elements comes out at -364 meV/atom.

No. 6
# ThZrIn

A relaxed structure of ThZrIn (PBE, Alexandria via LeMat-Bulk).

```
ThZrIn
1.0
3.241 0.000 0.000
0.000 9.238 0.000
0.000 -4.619 8.000
Th Zr In
3 3 3
Cartesian
1.620 4.619 2.667 Th
1.620 0.000 5.334 Th
0.000 0.000 0.000 Th
1.620 2.849 0.000 Zr
1.620 -1.424 2.467 Zr
1.620 3.195 5.533 Zr
0.000 5.925 0.000 In
0.000 -2.962 5.131 In
0.000 1.657 2.870 In
```

Summary:
As for the symmetry: P-62m, No. 189. The volume comes out at 240 Å³ per cell. The formation energy from the elements comes out at 131 meV/atom. The calculation puts the energy relative to the lowest polymorph listed for this composition at 351 meV/atom.

No. 7
# TaTe3Pd12

A relaxed structure of TaTe3Pd12 (PBE, Alexandria via LeMat-Bulk).

```
TaTe3Pd12
1.0
4.014 0.000 0.000
0.000 4.014 0.000
0.000 0.000 16.872
Ta Te Pd
1 3 12
Cartesian
0.000 0.000 0.000 Ta
0.000 0.000 4.344 Te
0.000 0.000 8.436 Te
0.000 0.000 12.528 Te
2.007 2.007 0.000 Pd
2.007 2.007 3.935 Pd
2.007 2.007 8.436 Pd
2.007 2.007 12.937 Pd
2.007 0.000 1.877 Pd
2.007 0.000 6.237 Pd
2.007 0.000 10.635 Pd
2.007 0.000 14.995 Pd
0.000 2.007 1.877 Pd
0.000 2.007 6.237 Pd
0.000 2.007 10.635 Pd
0.000 2.007 14.995 Pd
```

Summary:
As for the symmetry: P4/mmm, No. 123. The volume comes out at 272 Å³ per cell. The value obtained for the energy relative to the elements, uncorrected is -0.2670 eV/atom.

No. 8
# Pr4ZnSi2

A relaxed structure of Pr4ZnSi2 (PBE, Alexandria via LeMat-Bulk).

```
Pr4ZnSi2
1.0
-3.625 -3.365 -1.172
-0.280 -1.899 -4.707
4.047 -8.329 0.374
Pr Zn Si
4 1 2
Cartesian
2.014 -9.186 -1.904 Pr
0.722 -4.242 -1.077 Pr
-0.580 -9.352 -4.428 Pr
-1.873 -4.408 -3.600 Pr
0.000 0.000 0.000 Zn
2.579 -6.525 -0.266 Si
-2.437 -7.069 -5.238 Si
```

Summary:
As for the symmetry: R-3m, No. 166. The volume comes out at 197 Å³ per cell. The value obtained for the energy relative to the elements, uncorrected is -0.3577 eV/atom.

No. 9
# SiAs4W

A relaxed structure of SiAs4W (PBE, Alexandria via LeMat-Bulk).

```
SiAs4W
1.0
-2.088 -2.453 -4.325
-4.653 1.737 -2.102
-0.032 2.512 -4.772
Si As W
1 4 1
Cartesian
-5.079 1.347 -8.398 Si
-3.584 -0.560 -6.365 As
-2.552 1.934 -6.590 As
-4.873 1.545 -5.248 As
-2.536 0.672 -4.193 As
0.000 0.000 0.000 W
```

Summary:
As for the symmetry: F-43m, No. 216. The volume comes out at 111 Å³ per cell. The value obtained for the energy relative to the elements, uncorrected is 1.0534 eV/atom.

No. 10
# Ca2NdZn2Si2

A relaxed structure of Ca2NdZn2Si2 (PBE, Alexandria via LeMat-Bulk).

```
Ca2NdZn2Si2
1.0
4.170 0.000 0.000
2.085 3.612 0.000
2.085 1.204 11.720
Ca Nd Zn Si
2 1 2 2
Cartesian
2.085 1.204 7.540 Ca
6.255 3.612 4.179 Ca
0.000 0.000 0.000 Nd
4.170 2.408 2.109 Zn
4.170 2.408 9.611 Zn
6.255 3.612 9.643 Si
2.085 1.204 2.076 Si
```

Summary:
As for the symmetry: R-3m, No. 166. The volume comes out at 177 Å³ per cell. The value obtained for the energy relative to the elements, uncorrected is -0.4583 eV/atom.

Which of these has the lowest volume?
Pa2AsP

Which of these has the highest volume?
TaTe3Pd12